Entry from Alexandria: an optimized crystal structure of Tm2ZnAu8 (PBE).

Computed properties:
Crystal system   monoclinic
DFT total energy   -3.8374 eV/atom

Lattice parameters (Å, degrees): 4.895 6.555 7.849 114.73 108.17 90.00
Fractional positions:
Zn1 0.500 0.000 0.000
Au1 0.000 0.729 0.000
Au2 0.173 0.173 0.347
Au3 0.000 0.271 0.000
Au4 0.827 0.827 0.653
Au5 0.371 0.154 0.742
Au6 0.629 0.846 0.258
Au7 0.371 0.588 0.741
Au8 0.629 0.412 0.259
Tm1 0.199 0.699 0.398
Tm2 0.801 0.301 0.602